A plane-wave DFT calculation with PBE with a Hubbard U was carried out for KWO2F after structural relaxation.

Computed properties:
As for the total DFT energy (no corrections): -3.611 eV/atom. The total moment comes out at 1.99 μB/f.u. The value obtained for the density of states at the Fermi level is 2.10 states/eV/cell.

Unit cell a=4.446 b=4.446 c=4.347 alpha=90.00 beta=90.00 gamma=90.00
Last column: magnetic moment on the atom in μB.
Fractional positions:
K 0.000 0.000 0.000  -0.10
O 0.000 0.500 0.000  -0.66
O 0.500 0.000 0.000  -0.66
W 0.500 0.500 0.500  3.18
F 0.000 0.000 0.500  0.04